Material: Mn2TlCd
Method: DFT, SCAN
State: PBEsol geometry

abc: 2.936 2.936 7.878
angles: 90.00 90.00 90.00
Atoms (fractional coordinates):
1 Cd 0.500 0.500 0.801
2 Mn 0.000 0.000 0.043
3 Mn 0.500 0.500 0.192
4 Tl 0.000 0.000 0.464

Material: Ca4ZrIr
Method: DFT, SCAN
State: PBEsol geometry

abc: 6.025 6.025 6.025
angles: 60.00 60.00 60.00
Atoms (fractional coordinates):
1 Ca 0.873 0.376 0.376
2 Ca 0.376 0.376 0.376
3 Ca 0.376 0.376 0.873
4 Ca 0.376 0.873 0.376
5 Ir 0.750 0.750 0.750
6 Zr 0.000 0.000 0.000

Material: CoP3W
Method: DFT, SCAN
State: PBEsol geometry

abc: 4.216 4.216 4.216
angles: 90.00 90.00 90.00
Atoms (fractional coordinates):
1 P 0.000 0.500 0.000
2 P 0.000 0.000 0.500
3 P 0.500 0.000 0.000
4 Co 0.000 0.000 0.000
5 W 0.500 0.500 0.500

Material: MgTa2GaAu
Method: DFT, SCAN
State: PBEsol geometry

abc: 4.633 5.012 5.012
angles: 90.00 90.00 90.00
Atoms (fractional coordinates):
1 Mg 0.500 0.500 0.500
2 Au 0.000 0.000 0.000
3 Ga 0.500 0.000 0.000
4 Ta 0.000 0.000 0.500
5 Ta 0.000 0.500 0.000

Material: BaCr2Ag
Method: DFT, SCAN
State: PBEsol geometry

abc: 3.171 3.171 7.987
angles: 89.93 90.00 90.00
Atoms (fractional coordinates):
1 Ag 0.000 0.000 0.436
2 Ba 0.500 0.499 0.758
3 Cr 0.000 0.000 0.093
4 Cr 0.500 0.500 0.214

Energy above the lowest structure with this stoichiometry, meV/atom: 0.0

Material: VCr2Re
Method: DFT, SCAN
State: PBEsol geometry

abc: 4.126 4.126 4.126
angles: 60.00 60.00 60.00
Atoms (fractional coordinates):
1 Re 0.500 0.500 0.500
2 V 0.000 0.000 0.000
3 Cr 0.250 0.250 0.250
4 Cr 0.750 0.750 0.750

| no. | total magnetization (μB per cell) | ΔH_f (0 K) (eV/atom) |
| --- | --- | --- |
| 1 | 0.20 | 0.1495 |
| 2 | 3.85 | 0.9457 |
| 3 | 1.32 | 1.1514 |
| 4 | 0.00 | 1.1867 |
| 5 | 0.25 | 0.3667 |
| 6 | 0.22 | -0.2419 |